1.
DFT (PBE) results for an optimized crystal structure of Ca2NbAgCl.

a b c (Å): 5.8091 5.8091 5.0881
angles (deg): 90.00 90.00 90.00
Closest atoms and distances in Å follow each position.
Positions (direct):
Nb 0.0000 0.0000 0.5000  2 Ag 2.54
Ca 0.0000 0.5000 0.0000  2 Ag 2.90
Ca 0.5000 0.0000 0.0000  2 Ag 2.90
Ag 0.0000 0.0000 0.0000  2 Nb 2.54
Cl 0.5000 0.5000 0.5000  8 Ca 3.86, 4 Nb 4.11

Uncorrected formation energy in eV per atom: 0.33
Fermi-level density of states in states/eV/atom: 1.17
Symmetry: P4/mmm (123)

=====

2.
DFT (PBE) results for an optimized crystal structure of BaAg2As.

a b c (Å): 3.3962 4.0023 7.3919
angles (deg): 90.00 90.00 90.00
Closest atoms and distances in Å follow each position.
Positions (direct):
As 0.0000 0.0000 0.4405  5 Ag 2.75-2.96
Ba 0.5000 0.5000 0.7361  2 Ba 3.40, 4 As 3.41, 5 Ag 3.56-3.59
Ag 0.0000 0.0000 0.0683  1 As 2.75, 4 Ag 2.97
Ag 0.5000 0.5000 0.2551  4 As 2.96, 4 Ag 2.97

Fermi-level density of states in states/eV/atom: 0.56
Symmetry: Pmm2 (25)
Calculated formation energy in eV per atom: -0.12

=====

3.
DFT (PBE) results for an optimized crystal structure of BaSrAs2Pd2.

a b c (Å): 4.3476 4.3476 9.3620
angles (deg): 90.00 90.00 120.00
Closest atoms and distances in Å follow each position.
Positions (direct):
Ba 0.0000 0.0000 0.0000  6 As 3.49, 6 Pd 3.51
Sr 0.0000 0.0000 0.5000  6 Pd 3.35, 6 As 3.38
As 0.6667 0.3333 0.7417  3 Pd 2.51
As 0.3333 0.6667 0.2583  3 Pd 2.51
Pd 0.6667 0.3333 0.2625  3 As 2.51
Pd 0.3333 0.6667 0.7375  3 As 2.51

Fermi-level density of states in states/eV/atom: 0.51
Symmetry: P-3m1 (164)
Calculated formation energy in eV per atom: -0.95

=====

4.
DFT (PBE) results for an optimized crystal structure of La2Nd7Er2.

a b c (Å): 7.1214 7.7054 7.7054
angles (deg): 95.97 74.81 74.81
Closest atoms and distances in Å follow each position.
Positions (direct):
La 0.5000 0.1610 0.8390  4 Nd 3.39-3.46, 1 La 3.69
La 0.5000 0.8390 0.1610  4 Nd 3.39-3.46, 1 La 3.69
Nd 0.1928 0.0803 0.5775  1 Er 3.31, 5 Nd 3.38-3.70, 2 La 3.39-3.46
Nd 0.8072 0.4225 0.9197  1 Er 3.31, 5 Nd 3.38-3.70, 2 La 3.39-3.46
Nd 0.8072 0.9197 0.4225  1 Er 3.31, 5 Nd 3.38-3.70, 2 La 3.39-3.46
Nd 0.1928 0.5775 0.0803  1 Er 3.31, 5 Nd 3.38-3.70, 2 La 3.39-3.46
Nd 0.0000 0.0000 0.0000  4 Nd 3.38, 2 Er 3.52
Nd 0.5226 0.6701 0.6701  3 Er 3.42-3.72, 5 Nd 3.50-3.67, 2 La 3.82
Nd 0.4774 0.3299 0.3299  3 Er 3.42-3.72, 5 Nd 3.50-3.67, 2 La 3.82
Er 0.9426 0.3549 0.3549  5 Nd 3.31-3.52, 1 Er 3.40
Er 0.0574 0.6451 0.6451  5 Nd 3.31-3.52, 1 Er 3.40

Fermi-level density of states in states/eV/atom: 1.84
Symmetry: C2/m (12)
Calculated formation energy in eV per atom: 0.21

=====

Results for magnetization: 2.9; 0.0; 0.0; 0.0 (in μB/f.u., following the order of the records).
Results for total DFT energy (no corrections): -3.423; -3.191; -4.834; -4.550 (in eV per atom, following the order of the records).